1.
Material: La2Ni5Pt5
Method: DFT, PBE
State: optimized geometry

Cell lengths 4.2255, 5.1762, 9.2768 Å; angles 90.00, 90.00, 90.00 degrees
Last column: nearest neighbours and their distance in Å.
Sites, in units of the cell vectors:
1 La 0.0000 0.0000 0.0000  10 Pt 3.08-3.34, 8 Ni 3.43
2 La 0.0000 0.5000 0.5000  6 Pt 2.96-3.01
3 Ni 0.5000 0.0000 0.5000  4 Ni 2.60, 4 Pt 2.61
4 Ni 0.5000 0.2474 0.2559  3 Ni 2.56-2.61, 5 Pt 2.58-2.71
5 Ni 0.5000 0.2474 0.7441  3 Ni 2.56-2.61, 5 Pt 2.58-2.71
6 Ni 0.5000 0.7526 0.2559  3 Ni 2.56-2.61, 5 Pt 2.58-2.71
7 Ni 0.5000 0.7526 0.7441  3 Ni 2.56-2.61, 5 Pt 2.58-2.71
8 Pt 0.0000 0.0000 0.3343  6 Ni 2.58-2.61
9 Pt 0.0000 0.0000 0.6657  6 Ni 2.58-2.61
10 Pt 0.0000 0.5000 0.1807  4 Ni 2.58, 2 Pt 2.70
11 Pt 0.0000 0.5000 0.8193  4 Ni 2.58, 2 Pt 2.70
12 Pt 0.5000 0.5000 0.0000  4 Pt 2.70, 4 Ni 2.71

formation energy	-572.2	meV per atom
space-group type	No. 47

2.
Material: PmNdPaAl
Method: DFT, PBE
State: optimized geometry

Cell lengths 5.3511, 5.3511, 5.3511 Å; angles 60.00, 60.00, 60.00 degrees
Last column: nearest neighbours and their distance in Å.
Sites, in units of the cell vectors:
1 Pm 0.0000 0.0000 0.0000  4 Pa 3.28, 4 Al 3.28
2 Nd 0.5000 0.5000 0.5000  4 Pa 3.28, 4 Al 3.28
3 Pa 0.7500 0.7500 0.7500  4 Nd 3.28, 4 Pm 3.28
4 Al 0.2500 0.2500 0.2500  4 Nd 3.28, 4 Pm 3.28

formation energy	202.5	meV per atom
space-group type	No. 216

3.
Material: Ca2SiBi
Method: DFT, PBE
State: optimized geometry

Cell lengths 6.7951, 6.7951, 6.7951 Å; angles 103.91, 103.91, 121.29 degrees
Last column: nearest neighbours and their distance in Å.
Sites, in units of the cell vectors:
1 Ca 0.0987 0.6250 0.9737  2 Si 2.93, 2 Bi 3.23
2 Ca 0.3750 0.3487 0.4737  2 Si 2.93, 2 Bi 3.23
3 Ca 0.6513 0.1250 0.0263  2 Si 2.93, 2 Bi 3.23
4 Ca 0.8750 0.9013 0.5263  2 Si 2.93, 2 Bi 3.23
5 Si 0.0000 0.0000 0.0000  4 Ca 2.93
6 Si 0.7500 0.2500 0.5000  4 Ca 2.93
7 Bi 0.2500 0.7500 0.5000  4 Ca 3.23, 2 Si 3.33
8 Bi 0.5000 0.5000 0.0000  4 Ca 3.23, 2 Si 3.33

formation energy from raw total energies	-198	meV/atom
space-group type	No. 122

4.
Material: HRuPbBr2
Method: DFT, PBE
State: optimized geometry

Cell lengths 4.9207, 4.9207, 5.6342 Å; angles 90.00, 90.00, 90.00 degrees
Last column: nearest neighbours and their distance in Å.
Sites, in units of the cell vectors:
1 H 0.0000 0.0000 0.0000  4 Pb 3.48, 8 Br 3.74
2 Ru 0.5000 0.5000 0.5000  4 Br 2.46
3 Pb 0.5000 0.5000 0.0000  2 Ru 2.82
4 Br 0.0000 0.5000 0.5000  2 Ru 2.46
5 Br 0.5000 0.0000 0.5000  2 Ru 2.46

space-group type	No. 123
DFT total energy	-3.36	eV per atom

5.
Material: Pr6SiBr3N2
Method: DFT, PBE
State: optimized geometry

Cell lengths 9.6512, 9.6512, 8.7372 Å; angles 111.17, 111.17, 23.58 degrees
Last column: nearest neighbours and their distance in Å.
Sites, in units of the cell vectors:
1 Pr 0.0287 0.0287 0.2490  1 N 2.54, 2 Si 2.84
2 Pr 0.3149 0.3149 0.4528  3 N 2.49-2.62
3 Pr 0.3356 0.3356 0.8599  2 N 2.61, 1 Si 2.89
4 Pr 0.6644 0.6644 0.1401  2 N 2.61, 1 Si 2.89
5 Pr 0.6851 0.6851 0.5472  3 N 2.49-2.62
6 Pr 0.9713 0.9713 0.7510  1 N 2.54, 2 Si 2.84
7 Si 0.5000 0.5000 0.0000  6 Pr 2.84-2.89
8 Br 0.1628 0.1628 0.8287  6 Pr 3.17-3.43
9 Br 0.5000 0.5000 0.5000  6 Pr 3.14-3.37
10 Br 0.8372 0.8372 0.1713  6 Pr 3.17-3.43
11 N 0.1730 0.1730 0.3413  6 Pr 2.49-2.62
12 N 0.8270 0.8270 0.6587  6 Pr 2.49-2.62

formation energy from raw total energies	-1248	meV/atom
space-group type	No. 12

6.
Material: CrIn2Cl5
Method: DFT, PBE
State: optimized geometry

Cell lengths 7.0176, 7.0176, 7.2872 Å; angles 121.26, 121.26, 62.55 degrees
Last column: nearest neighbours and their distance in Å.
Sites, in units of the cell vectors:
1 Cr 0.0000 0.0000 0.0000  5 Cl 2.22-2.32
2 In 0.2220 0.2220 0.7214  4 Cl 3.13-3.14
3 In 0.7221 0.7221 0.2198  4 Cl 3.13-3.14
4 Cl 0.2590 0.8134 0.8131  1 Cr 2.32
5 Cl 0.2598 0.8141 0.2596  1 Cr 2.32
6 Cl 0.7676 0.7676 0.7684  1 Cr 2.22
7 Cl 0.8134 0.2590 0.8131  1 Cr 2.32
8 Cl 0.8141 0.2598 0.2596  1 Cr 2.32

formation energy from raw total energies	-926	meV/atom
space-group type	No. 8